No. 1
A plane-wave DFT calculation with PBE-GGA was carried out for a relaxed structure of K4RbZn.

Cell and atoms, written as POSCAR:
```
K4RbZn
1.0
-3.224 1.716 6.822
-8.484 -0.219 -3.955
4.967 -10.976 1.036
K Zn Rb
8 2 2
direct
0.177 0.667 0.334
0.000 0.238 0.000
0.612 0.352 0.219
0.388 0.133 0.781
0.612 0.867 0.219
0.388 0.648 0.781
0.000 0.762 0.000
0.823 0.333 0.666
0.339 0.504 0.008
0.661 0.496 0.992
0.803 0.798 0.596
0.197 0.202 0.404
```

Energy of formation, meV per atom: 47
Space group: C2/m
Magnetic moment, μB/cell: 0.0

***

No. 2
A plane-wave DFT calculation with PBE-GGA was carried out for a relaxed structure of CeNdSc2.

Cell and atoms, written as POSCAR:
```
CeNdSc2
1.0
3.740 0.000 0.000
0.000 5.524 0.000
0.000 0.000 5.524
Nd Sc Ce
1 2 1
direct
0.500 0.000 0.000
0.000 0.500 0.000
0.000 0.000 0.500
0.500 0.500 0.500
```

Energy of formation, meV per atom: 110
Relative energy among the computed polymorphs, meV/atom: 38
Space group: P4/mmm
Magnetic moment, μB/cell: 0.5

***

No. 3
A plane-wave DFT calculation with PBE-GGA was carried out for a relaxed structure of ErPRu2C.

Cell and atoms, written as POSCAR:
```
ErPRu2C
1.0
-4.649 -2.136 -2.857
5.766 0.914 -0.509
1.249 -6.364 2.725
Ru P Er C
4 2 2 2
direct
0.835 0.165 0.448
0.165 0.835 0.552
0.835 0.165 0.052
0.165 0.835 0.948
0.732 0.268 0.750
0.268 0.732 0.250
0.543 0.457 0.250
0.457 0.543 0.750
0.000 0.000 0.500
0.000 0.000 0.000
```

Energy of formation, meV per atom: -673
Space group: Cmcm
Magnetic moment, μB/cell: 0.0

***

No. 4
A plane-wave DFT calculation with PBE-GGA was carried out for a relaxed structure of Ca2IrOs.

Cell and atoms, written as POSCAR:
```
Ca2IrOs
1.0
-0.437 5.102 -1.573
-4.241 -1.102 3.082
1.452 0.832 2.297
Ir Ca Os
1 2 1
direct
0.500 0.000 0.500
0.000 0.000 0.000
0.500 0.500 0.000
0.000 0.500 0.500
```

Energy of formation, meV per atom: 379
Relative energy among the computed polymorphs, meV/atom: 385
Space group: Cmmm
Magnetic moment, μB/cell: 0.0

***

No. 5
A plane-wave DFT calculation with PBE-GGA was carried out for a relaxed structure of RbBiSbW2.

Cell and atoms, written as POSCAR:
```
RbBiSbW2
1.0
5.291 0.000 0.000
0.000 6.187 0.000
0.000 0.000 5.291
Sb Bi W Rb
1 1 2 1
direct
0.500 0.500 0.500
0.000 0.000 0.000
0.500 0.000 0.000
0.000 0.000 0.500
0.000 0.500 0.000
```

Space group: P4/mmm
Magnetic moment, μB/cell: 4.7
Energy relative to the elements, uncorrected, eV/f.u.: 11.2

***

No. 6
A plane-wave DFT calculation with PBE-GGA was carried out for a relaxed structure of Tm2AlGa2Ir5.

Cell and atoms, written as POSCAR:
```
Tm2AlGa2Ir5
1.0
3.521 0.000 0.000
0.000 9.725 0.000
0.000 0.000 9.725
Ir Ga Tm Al
10 4 4 2
direct
0.500 0.000 0.500
0.500 0.064 0.799
0.500 0.299 0.564
0.500 0.799 0.936
0.500 0.936 0.201
0.500 0.564 0.701
0.500 0.201 0.064
0.500 0.701 0.436
0.500 0.500 0.000
0.500 0.436 0.299
0.000 0.373 0.127
0.000 0.127 0.627
0.000 0.627 0.873
0.000 0.873 0.373
0.000 0.173 0.327
0.000 0.827 0.673
0.000 0.673 0.173
0.000 0.327 0.827
0.000 0.000 0.000
0.000 0.500 0.500
```

Energy of formation, meV per atom: -715
Space group: P4/mbm
Magnetic moment, μB/cell: 0.0

***

No. 7
A plane-wave DFT calculation with PBE-GGA was carried out for a relaxed structure of MgIn2Ga.

Cell and atoms, written as POSCAR:
```
MgIn2Ga
1.0
-2.636 -2.186 1.372
2.033 -2.967 -0.821
2.993 0.319 6.256
Ga In Mg
1 2 1
direct
0.500 0.500 0.500
0.000 0.000 0.257
0.000 0.000 0.743
0.500 0.500 0.000
```

Energy of formation, meV per atom: -10
Relative energy among the computed polymorphs, meV/atom: 21
Space group: P4/mmm
Magnetic moment, μB/cell: 0.0

***

No. 8
A plane-wave DFT calculation with PBE-GGA was carried out for a relaxed structure of Pr2Th3S8.

Cell and atoms, written as POSCAR:
```
Pr2Th3S8
1.0
6.783 0.000 0.169
0.000 8.292 0.000
-2.549 -4.146 6.710
Pr S Th
2 8 3
direct
0.340 0.263 0.526
0.660 0.737 0.474
0.581 0.104 0.748
0.092 0.391 0.781
0.419 0.356 0.252
0.581 0.644 0.748
0.071 0.882 0.763
0.908 0.609 0.219
0.419 0.896 0.252
0.929 0.118 0.237
0.500 0.000 0.000
0.000 0.255 0.000
0.000 0.745 0.000
```

Space group: C2/m
Magnetic moment, μB/cell: 0.0
Energy relative to the elements, uncorrected, eV/f.u.: -24.3

***

Mass density (computed, Mg/m³): 1.33; 5.45; 9.35; 9.87; 7.52; 14.61; 5.69; 5.38